P:
A relaxed structure of GaCoBr3, computed with GGA-PBE.

space group = Pm-3m (221)
size of the total moment = 2.267 Bohr magnetons per cell

```
GaCoBr3
1.0
5.0749 0.0000 0.0000
0.0000 5.0749 0.0000
0.0000 0.0000 5.0749
Ga Co Br
1 1 3
Direct
0.5000 0.5000 0.5000
0.0000 0.0000 0.0000
0.0000 0.5000 0.0000
0.0000 0.0000 0.5000
0.5000 0.0000 0.0000
```



Q:
A relaxed structure of GaCoBr3, computed with GGA-PBE.

space group = Pm-3m (221)
size of the total moment = 2.626 Bohr magnetons per cell

```
GaCoBr3
1.0
5.2419 0.0000 0.0000
0.0000 5.2419 0.0000
0.0000 0.0000 5.2419
Ga Co Br
1 1 3
Direct
0.0000 0.0000 0.0000
0.5000 0.5000 0.5000
0.0000 0.5000 0.0000
0.0000 0.0000 0.5000
0.5000 0.0000 0.0000
```



According to the calculations, the structures order from most to least stable as P, Q.



P:
A relaxed structure of Ga3CoBr, computed with GGA-PBE.

space group = Pm-3m (221)
size of the total moment = 1.952 Bohr magnetons per cell

```
Ga3CoBr
1.0
-3.8405 -3.7791 -1.2261
3.3520 -3.9975 1.8218
-2.1329 0.5224 5.0707
Co Ga Br
1 3 1
Direct
0.5000 0.5000 0.5000
0.0000 0.5000 0.0000
0.0000 0.0000 0.5000
0.5000 0.0000 0.0000
0.0000 0.0000 0.0000
```



Q:
A relaxed structure of Ga3CoBr, computed with GGA-PBE.

space group = Pm-3m (221)
size of the total moment = 0.000 Bohr magnetons per cell

```
Ga3CoBr
1.0
-1.8467 3.7531 -2.1098
-3.8431 -2.4719 -1.0334
-1.9411 1.3234 4.0532
Co Ga Br
1 3 1
Direct
0.0000 0.0000 0.0000
0.0000 0.5000 0.0000
0.0000 0.0000 0.5000
0.5000 0.0000 0.0000
0.5000 0.5000 0.5000
```



According to the calculations, the structures order from most to least stable as Q, P.



P:
A relaxed structure of GaCoSeBr2, computed with GGA-PBE.

space group = P4/mmm (123)
size of the total moment = 2.531 Bohr magnetons per cell

```
GaCoSeBr2
1.0
-1.8420 -4.4461 -1.6887
1.9192 -2.3518 4.0986
-4.3780 0.8499 2.5376
Ga Co Se Br
1 1 1 2
Direct
0.0000 0.0000 0.0000
0.5000 0.5000 0.5000
0.0000 0.0000 0.5000
0.0000 0.5000 0.0000
0.5000 0.0000 0.0000
```



Q:
A relaxed structure of GaCoSeBr2, computed with GGA-PBE.

space group = P4/mmm (123)
size of the total moment = 1.527 Bohr magnetons per cell

```
GaCoSeBr2
1.0
-2.3283 0.7966 4.5630
4.1897 -1.8156 2.4548
1.7308 4.1972 0.1503
Ga Co Se Br
1 1 1 2
Direct
0.5000 0.5000 0.5000
0.0000 0.0000 0.0000
0.0000 0.0000 0.5000
0.0000 0.5000 0.0000
0.5000 0.0000 0.0000
```



According to the calculations, the structures order from most to least stable as Q, P.



P:
A relaxed structure of CoGeBr3, computed with GGA-PBE.

space group = Pm-3m (221)
size of the total moment = 2.605 Bohr magnetons per cell

```
CoGeBr3
1.0
5.3900 0.0000 0.0000
0.0000 5.3900 0.0000
0.0000 0.0000 5.3900
Co Ge Br
1 1 3
Direct
0.5000 0.5000 0.5000
0.0000 0.0000 0.0000
0.0000 0.5000 0.0000
0.0000 0.0000 0.5000
0.5000 0.0000 0.0000
```



Q:
A relaxed structure of CoGeBr3, computed with GGA-PBE.

space group = Pm-3m (221)
size of the total moment = 1.301 Bohr magnetons per cell

```
CoGeBr3
1.0
-3.7323 -0.4163 3.1699
0.1578 -4.8906 -0.4566
3.1932 -0.2450 3.7276
Ge Co Br
1 1 3
Direct
0.5000 0.5000 0.5000
0.0000 0.0000 0.0000
0.0000 0.5000 0.0000
0.0000 0.0000 0.5000
0.5000 0.0000 0.0000
```



According to the calculations, the structures order from most to least stable as Q, P.



P:
A relaxed structure of CoGeBr2, computed with GGA-PBE.

space group = I-42d (122)
size of the total moment = 2.001 Bohr magnetons per cell

```
CoGeBr2
1.0
9.3741 0.0000 0.0000
0.0000 9.3741 0.0000
4.6870 4.6870 2.2855
Ge Co Br
2 2 4
Direct
0.0000 0.0000 0.0000
0.7500 0.2500 0.5000
0.5000 0.5000 0.0000
0.2500 0.7500 0.5000
0.4641 0.1250 0.2500
0.2859 0.6250 0.2500
0.3750 0.5359 0.7500
0.8750 0.7141 0.7500
```



Q:
A relaxed structure of CoGeBr2, computed with GGA-PBE.

space group = R-3m (166)
size of the total moment = 2.335 Bohr magnetons per cell

```
CoGeBr2
1.0
2.0619 0.0000 8.6991
-1.0310 1.7857 8.6991
-1.0310 -1.7857 8.6991
Ge Co Br
1 1 2
Direct
0.0000 0.0000 0.0000
0.5000 0.5000 0.5000
0.8910 0.8910 0.8910
0.1090 0.1090 0.1090
```



R:
A relaxed structure of CoGeBr2, computed with GGA-PBE.

space group = Fm-3m (225)
size of the total moment = 1.538 Bohr magnetons per cell

```
CoGeBr2
1.0
-1.9538 -0.2103 4.4452
-4.8238 -0.2800 0.5235
-2.0391 -4.1246 1.5656
Ge Co Br
1 1 2
Direct
0.5000 0.5000 0.5000
0.0000 0.0000 0.0000
0.2500 0.2500 0.2500
0.7500 0.7500 0.7500
```



According to the calculations, the structures order from most to least stable as P, Q, R.



P:
A relaxed structure of CoGe2Br, computed with GGA-PBE.

space group = Fm-3m (225)
size of the total moment = 1.102 Bohr magnetons per cell

```
CoGe2Br
1.0
0.0000 3.3382 3.3382
3.3382 0.0000 3.3382
3.3382 3.3382 0.0000
Ge Co Br
2 1 1
Direct
0.2500 0.2500 0.2500
0.7500 0.7500 0.7500
0.0000 0.0000 0.0000
0.5000 0.5000 0.5000
```



Q:
A relaxed structure of CoGe2Br, computed with GGA-PBE.

space group = I-42d (122)
size of the total moment = 0.000 Bohr magnetons per cell

```
CoGe2Br
1.0
-1.0741 5.7612 -0.2239
-5.3608 -0.9141 2.1958
-1.1199 3.0234 6.3566
Ge Co Br
4 2 2
Direct
0.5159 0.1250 0.2500
0.2341 0.6250 0.2500
0.3750 0.4841 0.7500
0.8750 0.7659 0.7500
0.5000 0.5000 0.0000
0.2500 0.7500 0.5000
0.0000 0.0000 0.0000
0.7500 0.2500 0.5000
```



According to the calculations, the structures order from most to least stable as Q, P.



P:
A relaxed structure of CoGeSeBr2, computed with GGA-PBE.

space group = P4/mmm (123)
size of the total moment = 2.509 Bohr magnetons per cell

```
CoGeSeBr2
1.0
5.2021 0.0000 0.0000
0.0000 5.2021 0.0000
0.0000 0.0000 5.1709
Ge Co Se Br
1 1 1 2
Direct
0.0000 0.0000 0.0000
0.5000 0.5000 0.5000
0.0000 0.0000 0.5000
0.0000 0.5000 0.0000
0.5000 0.0000 0.0000
```



Q:
A relaxed structure of CoGeSeBr2, computed with GGA-PBE.

space group = P4/mmm (123)
size of the total moment = 1.071 Bohr magnetons per cell

```
CoGeSeBr2
1.0
-0.3460 -3.2760 -3.5473
-2.3803 -2.9785 2.9829
-4.1936 1.9538 -1.3954
Ge Co Se Br
1 1 1 2
Direct
0.5000 0.5000 0.5000
0.0000 0.0000 0.0000
0.0000 0.0000 0.5000
0.0000 0.5000 0.0000
0.5000 0.0000 0.0000
```



According to the calculations, the structures order from most to least stable as Q, P.



P:
A relaxed structure of CoGeSe2Br, computed with GGA-PBE.

space group = P4/mmm (123)
size of the total moment = 1.188 Bohr magnetons per cell

```
CoGeSe2Br
1.0
-2.6476 3.7857 -0.8195
-1.4002 -0.0099 4.4779
3.8123 2.9257 1.1985
Ge Co Se Br
1 1 2 1
Direct
0.5000 0.5000 0.5000
0.0000 0.0000 0.0000
0.0000 0.5000 0.0000
0.5000 0.0000 0.0000
0.0000 0.0000 0.5000
```



Q:
A relaxed structure of CoGeSe2Br, computed with GGA-PBE.

space group = P4/mmm (123)
size of the total moment = 2.704 Bohr magnetons per cell

```
CoGeSe2Br
1.0
-0.6254 -2.9885 -3.9833
4.7893 0.7387 -1.3061
1.4046 -4.0818 2.8419
Ge Co Se Br
1 1 2 1
Direct
0.0000 0.0000 0.0000
0.5000 0.5000 0.5000
0.0000 0.5000 0.0000
0.5000 0.0000 0.0000
0.0000 0.0000 0.5000
```



According to the calculations, the structures order from most to least stable as P, Q.



P:
A relaxed structure of Co2HBr, computed with GGA-PBE.

space group = Fm-3m (225)
size of the total moment = 2.954 Bohr magnetons per cell

```
Co2HBr
1.0
0.0000 2.8458 2.8458
2.8458 0.0000 2.8458
2.8458 2.8458 0.0000
H Co Br
1 2 1
Direct
0.0000 0.0000 0.0000
0.2500 0.2500 0.2500
0.7500 0.7500 0.7500
0.5000 0.5000 0.5000
```



Q:
A relaxed structure of Co2HBr, computed with GGA-PBE.

space group = I-42d (122)
size of the total moment = 8.000 Bohr magnetons per cell

```
Co2HBr
1.0
-4.3120 0.8276 1.4314
-1.5775 -3.2567 -2.8693
-2.4229 -4.5525 2.7829
H Co Br
2 4 2
Direct
0.5000 0.5000 0.0000
0.2500 0.7500 0.5000
0.4825 0.1250 0.2500
0.2675 0.6250 0.2500
0.3750 0.5175 0.7500
0.8750 0.7325 0.7500
0.0000 0.0000 0.0000
0.7500 0.2500 0.5000
```



According to the calculations, the structures order from most to least stable as Q, P.



P:
A relaxed structure of CoPH2Br, computed with GGA-PBE.

space group = P1 (1)
size of the total moment = 0.000 Bohr magnetons per cell

```
CoPH2Br
1.0
3.4825 -0.0023 0.0025
1.7386 3.6091 -0.0031
1.7402 1.1949 5.4771
Co P H Br
1 1 2 1
Direct
0.4461 0.0853 0.6088
0.1115 0.9061 0.4570
0.6052 0.6733 0.7010
0.3356 0.5191 0.3945
0.1795 0.2237 0.0076
```



Q:
A relaxed structure of CoPH2Br, computed with GGA-PBE.

space group = Cm (8)
size of the total moment = 0.000 Bohr magnetons per cell

```
CoPH2Br
1.0
5.9800 0.0000 0.0286
0.0000 3.7397 0.0000
-1.3707 0.0000 5.8603
Co P H Br
2 2 4 2
Direct
0.5689 0.0000 0.0697
0.5689 0.5000 0.5697
0.4124 0.0000 0.6916
0.4124 0.5000 0.1916
0.6110 0.7660 0.3315
0.6110 0.2340 0.3315
0.6110 0.2660 0.8315
0.6110 0.7340 0.8315
0.9656 0.0000 0.1598
0.9656 0.5000 0.6598
```



R:
A relaxed structure of CoPH2Br, computed with GGA-PBE.

space group = P1 (1)
size of the total moment = 0.000 Bohr magnetons per cell

```
CoPH2Br
1.0
3.4508 -0.0007 0.0011
1.7217 3.5708 0.0002
1.7081 -0.5976 6.3962
Co P H Br
1 1 2 1
Direct
0.2611 0.5607 0.4147
0.5972 0.9152 0.3887
0.2145 0.4345 0.6424
0.0752 0.6910 0.6540
0.5995 0.2275 0.0691
```



S:
A relaxed structure of CoPH2Br, computed with GGA-PBE.

space group = P1 (1)
size of the total moment = 0.000 Bohr magnetons per cell

```
CoPH2Br
1.0
3.4243 0.0000 0.0003
1.7114 2.9703 0.0004
1.6135 0.5425 8.3919
Co P H Br
1 1 2 1
Direct
0.5887 0.6823 0.2746
0.2135 0.3279 0.3857
0.7697 0.9230 0.7447
0.8419 0.7587 0.6819
0.9937 0.0538 0.0820
```



According to the calculations, the structures order from most to least stable as S, R, P, Q.



P:
A relaxed structure of CoPH2Br, computed with GGA-PBE.

space group = P1 (1)
size of the total moment = 0.000 Bohr magnetons per cell

```
CoPH2Br
1.0
-1.9760 1.8779 1.3458
-3.2849 -1.1693 0.2587
0.1733 -2.4447 6.8548
Co P H Br
1 1 2 1
Direct
0.7057 0.5986 0.4556
0.0640 0.0173 0.3076
0.1413 0.0518 0.1062
0.2634 0.4322 0.5146
0.5731 0.5600 0.7849
```



Q:
A relaxed structure of CoPH2Br, computed with GGA-PBE.

space group = Pmm2 (25)
size of the total moment = 0.356 Bohr magnetons per cell

```
CoPH2Br
1.0
-0.1502 3.3990 0.1947
-1.7908 -0.2037 2.1752
5.2309 -0.0155 4.3050
Co P H Br
1 1 2 1
Direct
0.5000 0.0000 0.6165
0.0000 0.5000 0.5263
0.0000 0.5000 0.3170
0.5000 0.0000 0.4007
0.5000 0.0000 0.9706
```



R:
A relaxed structure of CoPH2Br, computed with GGA-PBE.

space group = P1 (1)
size of the total moment = 0.000 Bohr magnetons per cell

```
CoPH2Br
1.0
3.3631 -0.0014 0.0060
-1.6791 2.9185 -0.0079
-0.1155 -1.8607 7.7546
Co P H Br
1 1 2 1
Direct
0.5519 0.4120 0.5476
0.9285 0.1540 0.6684
0.4043 0.2989 0.3261
0.5796 0.1994 0.3337
0.0268 0.3431 0.9554
```



According to the calculations, the structures order from most to least stable as Q, R, P.